# 1
{"formula": "ZnCo2HPd", "functional": "GGA-PBE", "state": "relaxed", "polymorph_energy_ev_per_atom": 0.0609, "cell": [[-2.271, 2.491, -1.228], [-1.202, -2.311, -2.467], [-2.892, -1.328, 2.654]], "species": ["H", "Zn", "Co", "Co", "Pd"], "frac_coords": [[0.000, 0.000, 0.000], [0.000, 0.000, 0.500], [0.000, 0.500, 0.000], [0.500, 0.000, 0.000], [0.500, 0.500, 0.500]]}

# 2
{"formula": "Pu6As2P3Se", "functional": "GGA-PBE", "state": "relaxed", "energy_ev_per_atom": -10.729, "cell": [[-0.158, -0.401, -4.041], [7.014, -4.129, 0.136], [-9.552, -4.091, 2.822]], "species": ["Pu", "Pu", "Pu", "Pu", "Pu", "Pu", "As", "As", "P", "P", "P", "Se"], "frac_coords": [[0.331, 0.756, 0.663], [0.666, 0.754, 0.331], [0.669, 0.244, 0.337], [0.004, 0.745, 0.008], [0.996, 0.255, 0.992], [0.334, 0.246, 0.669], [0.836, 0.506, 0.671], [0.164, 0.494, 0.329], [0.500, 0.500, 0.000], [0.832, 0.000, 0.663], [0.168, 0.000, 0.337], [0.500, 0.000, 0.000]]}

# 3
{"formula": "B5C7", "functional": "GGA-PBE", "state": "relaxed", "polymorph_energy_ev_per_atom": 0.0544, "formation_enthalpy_0k_kj_per_mol_fu": 362, "cell": [[-0.553, -5.282, -3.381], [-1.244, -6.072, -1.103], [-4.668, 2.195, -0.654]], "species": ["B", "B", "B", "B", "B", "C", "C", "C", "C", "C", "C", "C"], "frac_coords": [[0.002, 0.002, 0.000], [0.262, 0.262, 0.379], [0.999, 0.999, 0.502], [0.653, 0.653, 0.327], [0.252, 0.252, 0.878], [0.911, 0.911, 0.203], [0.342, 0.342, 0.166], [0.908, 0.908, 0.706], [0.587, 0.587, 0.555], [0.342, 0.342, 0.676], [0.655, 0.655, 0.827], [0.587, 0.587, 0.032]]}

# 4
{"formula": "OsPdS3", "functional": "GGA-PBE", "state": "relaxed", "polymorph_energy_ev_per_atom": 0.0000, "cell": [[-2.427, -1.785, 3.487], [-2.671, -2.246, -3.009], [2.865, -3.606, 0.148]], "species": ["S", "S", "S", "Os", "Pd"], "frac_coords": [[0.000, 0.500, 0.000], [0.000, 0.000, 0.500], [0.500, 0.000, 0.000], [0.000, 0.000, 0.000], [0.500, 0.500, 0.500]]}

# 5
{"formula": "SiAsP2", "functional": "GGA-PBE", "state": "relaxed", "polymorph_energy_ev_per_atom": 0.5467, "cell": [[4.422, 0.000, 0.000], [2.211, 3.830, 0.000], [2.211, 1.277, 3.611]], "species": ["As", "P", "P", "Si"], "frac_coords": [[0.500, 0.500, 0.500], [0.000, 0.000, 0.000], [0.250, 0.250, 0.250], [0.750, 0.750, 0.750]]}

# 6
{"formula": "Ba2CuN", "functional": "GGA-PBE", "state": "relaxed", "energy_ev_per_atom": -4.098, "cell": [[7.678, 0.000, 0.000], [0.000, 7.678, 0.000], [3.839, 3.839, 4.435]], "species": ["Ba", "Ba", "Ba", "Ba", "Cu", "Cu", "N", "N"], "frac_coords": [[0.549, 0.125, 0.250], [0.201, 0.625, 0.250], [0.375, 0.451, 0.750], [0.875, 0.799, 0.750], [0.000, 0.000, 0.000], [0.750, 0.250, 0.500], [0.500, 0.500, 0.000], [0.250, 0.750, 0.500]]}